(a)
A geometry-optimized DyEr3Te6 structure, computed with GGA-PBE.

Structure (CIF):
```
data_DyEr3Te6
_space_group_name_H-M_alt 'P 1'
_space_group_IT_number 1
_space_group_name_Hall 'P 1'
_cell_length_a 12.408
_cell_length_b 4.323
_cell_length_c 12.721
_cell_angle_alpha 90.00
_cell_angle_beta 109.42
_cell_angle_gamma 90.00
loop_
_atom_site_label
_atom_site_type_symbol
_atom_site_fract_x
_atom_site_fract_y
_atom_site_fract_z
_atom_site_occupancy
Dy1 Dy 0.045 0.250 0.195 1
Dy2 Dy 0.955 0.750 0.805 1
Er1 Er 0.156 0.250 0.580 1
Er2 Er 0.316 0.750 0.998 1
Er3 Er 0.432 0.250 0.334 1
Er4 Er 0.568 0.750 0.666 1
Er5 Er 0.684 0.250 0.002 1
Er6 Er 0.844 0.750 0.420 1
Te1 Te 0.083 0.750 0.400 1
Te2 Te 0.111 0.250 0.967 1
Te3 Te 0.192 0.750 0.750 1
Te4 Te 0.253 0.750 0.220 1
Te5 Te 0.393 0.250 0.562 1
Te6 Te 0.483 0.250 0.118 1
Te7 Te 0.517 0.750 0.882 1
Te8 Te 0.607 0.750 0.438 1
Te9 Te 0.747 0.250 0.780 1
Te10 Te 0.808 0.250 0.250 1
Te11 Te 0.889 0.750 0.033 1
Te12 Te 0.917 0.250 0.600 1
```

Calculated values
Space-group type: No. 11



(b)
A geometry-optimized DyEr3Te6 structure, computed with GGA-PBE.

Structure (CIF):
```
data_DyEr3Te6
_space_group_name_H-M_alt 'P 1'
_space_group_IT_number 1
_space_group_name_Hall 'P 1'
_cell_length_a 8.969
_cell_length_b 8.969
_cell_length_c 8.969
_cell_angle_alpha 90.51
_cell_angle_beta 90.51
_cell_angle_gamma 90.51
loop_
_atom_site_label
_atom_site_type_symbol
_atom_site_fract_x
_atom_site_fract_y
_atom_site_fract_z
_atom_site_occupancy
Dy1 Dy 0.000 0.000 0.000 1
Dy2 Dy 0.500 0.500 0.500 1
Er1 Er 0.075 0.582 0.743 1
Er2 Er 0.257 0.925 0.418 1
Er3 Er 0.418 0.257 0.925 1
Er4 Er 0.582 0.743 0.075 1
Er5 Er 0.743 0.075 0.582 1
Er6 Er 0.925 0.418 0.257 1
Te1 Te 0.038 0.909 0.678 1
Te2 Te 0.091 0.322 0.962 1
Te3 Te 0.183 0.588 0.409 1
Te4 Te 0.322 0.962 0.091 1
Te5 Te 0.409 0.183 0.588 1
Te6 Te 0.412 0.591 0.817 1
Te7 Te 0.588 0.409 0.183 1
Te8 Te 0.591 0.817 0.412 1
Te9 Te 0.678 0.038 0.909 1
Te10 Te 0.817 0.412 0.591 1
Te11 Te 0.909 0.678 0.038 1
Te12 Te 0.962 0.091 0.322 1
```

Calculated values
Space-group type: No. 148
Density of states at the Fermi level (states/eV/cell): 0.00



Which of them is the least stable? Correct choice: (b).



(a)
A geometry-optimized DyEr2Te3 structure, computed with GGA-PBE.

Structure (CIF):
```
data_DyEr2Te3
_space_group_name_H-M_alt 'P 1'
_space_group_IT_number 1
_space_group_name_Hall 'P 1'
_cell_length_a 7.478
_cell_length_b 7.478
_cell_length_c 7.478
_cell_angle_alpha 146.10
_cell_angle_beta 131.85
_cell_angle_gamma 60.19
loop_
_atom_site_label
_atom_site_type_symbol
_atom_site_fract_x
_atom_site_fract_y
_atom_site_fract_z
_atom_site_occupancy
Dy1 Dy 0.000 0.000 0.000 1
Er1 Er 0.337 0.337 0.000 1
Er2 Er 0.663 0.663 0.000 1
Te1 Te 0.170 0.670 0.500 1
Te2 Te 0.500 0.000 0.500 1
Te3 Te 0.830 0.330 0.500 1
```

Calculated values
Space-group type: No. 71
Density of states at the Fermi level (states/eV/cell): 2.72



(b)
A geometry-optimized DyEr2Te3 structure, computed with GGA-PBE.

Structure (CIF):
```
data_DyEr2Te3
_space_group_name_H-M_alt 'P 1'
_space_group_IT_number 1
_space_group_name_Hall 'P 1'
_cell_length_a 8.769
_cell_length_b 8.769
_cell_length_c 8.769
_cell_angle_alpha 48.50
_cell_angle_beta 48.50
_cell_angle_gamma 48.50
loop_
_atom_site_label
_atom_site_type_symbol
_atom_site_fract_x
_atom_site_fract_y
_atom_site_fract_z
_atom_site_occupancy
Dy1 Dy 0.000 0.000 0.000 1
Dy2 Dy 0.500 0.500 0.500 1
Er1 Er 0.166 0.166 0.166 1
Er2 Er 0.334 0.334 0.334 1
Er3 Er 0.666 0.666 0.666 1
Er4 Er 0.834 0.834 0.834 1
Te1 Te 0.081 0.750 0.419 1
Te2 Te 0.250 0.581 0.919 1
Te3 Te 0.419 0.081 0.750 1
Te4 Te 0.581 0.919 0.250 1
Te5 Te 0.750 0.419 0.081 1
Te6 Te 0.919 0.250 0.581 1
```

Calculated values
Space-group type: No. 167
Density of states at the Fermi level (states/eV/cell): 9.20



Which of them is the least stable? Correct choice: (a).



(a)
A geometry-optimized DyErTe2 structure, computed with GGA-PBE.

Structure (CIF):
```
data_DyErTe2
_space_group_name_H-M_alt 'P 1'
_space_group_IT_number 1
_space_group_name_Hall 'P 1'
_cell_length_a 5.330
_cell_length_b 5.330
_cell_length_c 5.330
_cell_angle_alpha 60.00
_cell_angle_beta 60.00
_cell_angle_gamma 60.00
loop_
_atom_site_label
_atom_site_type_symbol
_atom_site_fract_x
_atom_site_fract_y
_atom_site_fract_z
_atom_site_occupancy
Dy1 Dy 0.000 0.000 0.000 1
Er1 Er 0.500 0.500 0.500 1
Te1 Te 0.250 0.250 0.250 1
Te2 Te 0.750 0.750 0.750 1
```

Calculated values
Space-group type: No. 225
Density of states at the Fermi level (states/eV/cell): 2.49



(b)
A geometry-optimized DyErTe2 structure, computed with GGA-PBE.

Structure (CIF):
```
data_DyErTe2
_space_group_name_H-M_alt 'P 1'
_space_group_IT_number 1
_space_group_name_Hall 'P 1'
_cell_length_a 8.012
_cell_length_b 8.012
_cell_length_c 8.012
_cell_angle_alpha 30.24
_cell_angle_beta 30.24
_cell_angle_gamma 30.24
loop_
_atom_site_label
_atom_site_type_symbol
_atom_site_fract_x
_atom_site_fract_y
_atom_site_fract_z
_atom_site_occupancy
Dy1 Dy 0.000 0.000 0.000 1
Er1 Er 0.173 0.173 0.173 1
Te1 Te 0.585 0.585 0.585 1
Te2 Te 0.755 0.755 0.755 1
```

Calculated values
Space-group type: No. 160
Density of states at the Fermi level (states/eV/cell): 1.43



Which of them is the least stable? Correct choice: (a).



(a)
A geometry-optimized DyErTe2 structure, computed with GGA-PBE.

Structure (CIF):
```
data_DyErTe2
_space_group_name_H-M_alt 'P 1'
_space_group_IT_number 1
_space_group_name_Hall 'P 1'
_cell_length_a 4.338
_cell_length_b 4.338
_cell_length_c 6.118
_cell_angle_alpha 90.00
_cell_angle_beta 90.00
_cell_angle_gamma 90.00
loop_
_atom_site_label
_atom_site_type_symbol
_atom_site_fract_x
_atom_site_fract_y
_atom_site_fract_z
_atom_site_occupancy
Dy1 Dy 0.000 0.000 0.000 1
Er1 Er 0.500 0.500 0.500 1
Te1 Te 0.000 0.000 0.500 1
Te2 Te 0.500 0.500 0.000 1
```

Calculated values
Space-group type: No. 123
Density of states at the Fermi level (states/eV/cell): 1.78



(b)
A geometry-optimized DyErTe2 structure, computed with GGA-PBE.

Structure (CIF):
```
data_DyErTe2
_space_group_name_H-M_alt 'P 1'
_space_group_IT_number 1
_space_group_name_Hall 'P 1'
_cell_length_a 4.438
_cell_length_b 6.817
_cell_length_c 9.713
_cell_angle_alpha 89.83
_cell_angle_beta 89.89
_cell_angle_gamma 89.93
loop_
_atom_site_label
_atom_site_type_symbol
_atom_site_fract_x
_atom_site_fract_y
_atom_site_fract_z
_atom_site_occupancy
Dy1 Dy 0.000 0.000 0.000 1
Dy2 Dy 0.499 0.498 0.357 1
Er1 Er 0.503 0.661 0.764 1
Er2 Er 0.998 0.157 0.594 1
Te1 Te 0.000 0.240 0.269 1
Te2 Te 0.003 0.383 0.852 1
Te3 Te 0.499 0.881 0.504 1
Te4 Te 0.500 0.740 0.088 1
```

Calculated values
Space-group type: No. 1
Density of states at the Fermi level (states/eV/cell): 3.34



Which of them is the least stable? Correct choice: (b).



(a)
A geometry-optimized Dy2ErTe structure, computed with GGA-PBE.

Structure (CIF):
```
data_Dy2ErTe
_space_group_name_H-M_alt 'P 1'
_space_group_IT_number 1
_space_group_name_Hall 'P 1'
_cell_length_a 10.146
_cell_length_b 10.146
_cell_length_c 10.146
_cell_angle_alpha 21.76
_cell_angle_beta 21.76
_cell_angle_gamma 21.76
loop_
_atom_site_label
_atom_site_type_symbol
_atom_site_fract_x
_atom_site_fract_y
_atom_site_fract_z
_atom_site_occupancy
Dy1 Dy 0.239 0.239 0.239 1
Dy2 Dy 0.761 0.761 0.761 1
Er1 Er 0.000 0.000 0.000 1
Te1 Te 0.500 0.500 0.500 1
```

Calculated values
Space-group type: No. 166
Density of states at the Fermi level (states/eV/cell): 3.97



(b)
A geometry-optimized Dy2ErTe structure, computed with GGA-PBE.

Structure (CIF):
```
data_Dy2ErTe
_space_group_name_H-M_alt 'P 1'
_space_group_IT_number 1
_space_group_name_Hall 'P 1'
_cell_length_a 9.963
_cell_length_b 9.963
_cell_length_c 9.963
_cell_angle_alpha 22.39
_cell_angle_beta 22.39
_cell_angle_gamma 22.39
loop_
_atom_site_label
_atom_site_type_symbol
_atom_site_fract_x
_atom_site_fract_y
_atom_site_fract_z
_atom_site_occupancy
Dy1 Dy 0.000 0.000 0.000 1
Dy2 Dy 0.188 0.188 0.188 1
Er1 Er 0.427 0.427 0.427 1
Te1 Te 0.594 0.594 0.594 1
```

Calculated values
Space-group type: No. 160
Density of states at the Fermi level (states/eV/cell): 4.90



(c)
A geometry-optimized Dy2ErTe structure, computed with GGA-PBE.

Structure (CIF):
```
data_Dy2ErTe
_space_group_name_H-M_alt 'P 1'
_space_group_IT_number 1
_space_group_name_Hall 'P 1'
_cell_length_a 3.859
_cell_length_b 3.859
_cell_length_c 7.799
_cell_angle_alpha 90.00
_cell_angle_beta 90.00
_cell_angle_gamma 90.00
loop_
_atom_site_label
_atom_site_type_symbol
_atom_site_fract_x
_atom_site_fract_y
_atom_site_fract_z
_atom_site_occupancy
Dy1 Dy 0.000 0.000 0.227 1
Dy2 Dy 0.000 0.000 0.773 1
Er1 Er 0.500 0.500 0.500 1
Te1 Te 0.500 0.500 0.000 1
```

Calculated values
Space-group type: No. 123
Density of states at the Fermi level (states/eV/cell): 4.64



(d)
A geometry-optimized Dy2ErTe structure, computed with GGA-PBE.

Structure (CIF):
```
data_Dy2ErTe
_space_group_name_H-M_alt 'P 1'
_space_group_IT_number 1
_space_group_name_Hall 'P 1'
_cell_length_a 6.349
_cell_length_b 6.349
_cell_length_c 9.808
_cell_angle_alpha 90.00
_cell_angle_beta 90.00
_cell_angle_gamma 144.00
loop_
_atom_site_label
_atom_site_type_symbol
_atom_site_fract_x
_atom_site_fract_y
_atom_site_fract_z
_atom_site_occupancy
Dy1 Dy 0.134 0.866 0.538 1
Dy2 Dy 0.134 0.866 0.962 1
Dy3 Dy 0.866 0.134 0.038 1
Dy4 Dy 0.866 0.134 0.462 1
Er1 Er 0.443 0.557 0.750 1
Er2 Er 0.557 0.443 0.250 1
Te1 Te 0.264 0.736 0.250 1
Te2 Te 0.736 0.264 0.750 1
```

Calculated values
Space-group type: No. 63
Density of states at the Fermi level (states/eV/cell): 8.68



Which of them is the least stable? Correct choice: (a).



(a)
A geometry-optimized DyErTe3 structure, computed with GGA-PBE.

Structure (CIF):
```
data_DyErTe3
_space_group_name_H-M_alt 'P 1'
_space_group_IT_number 1
_space_group_name_Hall 'P 1'
_cell_length_a 8.282
_cell_length_b 8.282
_cell_length_c 8.282
_cell_angle_alpha 55.04
_cell_angle_beta 55.04
_cell_angle_gamma 55.04
loop_
_atom_site_label
_atom_site_type_symbol
_atom_site_fract_x
_atom_site_fract_y
_atom_site_fract_z
_atom_site_occupancy
Dy1 Dy 0.157 0.157 0.157 1
Dy2 Dy 0.843 0.843 0.843 1
Er1 Er 0.342 0.342 0.342 1
Er2 Er 0.658 0.658 0.658 1
Te1 Te 0.065 0.748 0.436 1
Te2 Te 0.252 0.564 0.935 1
Te3 Te 0.436 0.065 0.748 1
Te4 Te 0.564 0.935 0.252 1
Te5 Te 0.748 0.436 0.065 1
Te6 Te 0.935 0.252 0.564 1
```

Calculated values
Space-group type: No. 148



(b)
A geometry-optimized DyErTe3 structure, computed with GGA-PBE.

Structure (CIF):
```
data_DyErTe3
_space_group_name_H-M_alt 'P 1'
_space_group_IT_number 1
_space_group_name_Hall 'P 1'
_cell_length_a 7.360
_cell_length_b 7.360
_cell_length_c 10.717
_cell_angle_alpha 90.00
_cell_angle_beta 90.00
_cell_angle_gamma 146.74
loop_
_atom_site_label
_atom_site_type_symbol
_atom_site_fract_x
_atom_site_fract_y
_atom_site_fract_z
_atom_site_occupancy
Dy1 Dy 0.247 0.753 0.750 1
Dy2 Dy 0.753 0.247 0.250 1
Er1 Er 0.000 0.000 0.000 1
Er2 Er 0.000 0.000 0.500 1
Te1 Te 0.095 0.905 0.250 1
Te2 Te 0.352 0.648 0.067 1
Te3 Te 0.352 0.648 0.433 1
Te4 Te 0.648 0.352 0.567 1
Te5 Te 0.648 0.352 0.933 1
Te6 Te 0.905 0.095 0.750 1
```

Calculated values
Space-group type: No. 63
Density of states at the Fermi level (states/eV/cell): 0.33



Which of them is the least stable? Correct choice: (b).